1.
# LaPm2Ag2Ge2 | Alexandria via LeMat-Bulk | GGA-PBE | relaxed
data_LaPm2Ag2Ge2
_chemical_formula_sum 'La1 Pm2 Ag2 Ge2'
_symmetry_space_group_name_H-M 'P 1'
_symmetry_Int_Tables_number 1
_cell_length_a 4.623
_cell_length_b 4.623
_cell_length_c 9.838
_cell_angle_alpha 76.41
_cell_angle_beta 76.41
_cell_angle_gamma 60.00
loop_
_symmetry_equiv_pos_as_xyz
'x,y,z'
loop_
_atom_site_label
_atom_site_fract_x
_atom_site_fract_y
_atom_site_fract_z
_atom_site_occupancy
Ag1 0.596 0.596 0.212 1
Ag2 0.404 0.404 0.788 1
Ge1 0.259 0.259 0.223 1
Ge2 0.741 0.741 0.777 1
Pm1 0.871 0.871 0.386 1
Pm2 0.129 0.129 0.614 1
La1 0.000 0.000 0.000 1
# Formation energy from the elements   -0.4546 eV per atom

2.
# BaMnIn2 | Alexandria via LeMat-Bulk | GGA-PBE | relaxed
data_BaMnIn2
_chemical_formula_sum 'Ba1 Mn1 In2'
_symmetry_space_group_name_H-M 'P 1'
_symmetry_Int_Tables_number 1
_cell_length_a 4.547
_cell_length_b 3.600
_cell_length_c 7.254
_cell_angle_alpha 90.04
_cell_angle_beta 90.00
_cell_angle_gamma 90.00
loop_
_symmetry_equiv_pos_as_xyz
'x,y,z'
loop_
_atom_site_label
_atom_site_fract_x
_atom_site_fract_y
_atom_site_fract_z
_atom_site_occupancy
In1 0.500 0.125 0.328 1
In2 0.000 0.125 0.046 1
Ba1 0.500 0.625 0.772 1
Mn1 0.000 0.625 0.354 1
# Formation energy from the elements   0.0827 eV per atom

3.
# Gd2ZrGa | Alexandria via LeMat-Bulk | GGA-PBE | relaxed
data_Gd2ZrGa
_chemical_formula_sum 'Gd2 Zr1 Ga1'
_symmetry_space_group_name_H-M 'P 1'
_symmetry_Int_Tables_number 1
_cell_length_a 4.662
_cell_length_b 4.564
_cell_length_c 4.564
_cell_angle_alpha 90.00
_cell_angle_beta 90.00
_cell_angle_gamma 90.00
loop_
_symmetry_equiv_pos_as_xyz
'x,y,z'
loop_
_atom_site_label
_atom_site_fract_x
_atom_site_fract_y
_atom_site_fract_z
_atom_site_occupancy
Gd1 0.000 0.000 0.500 1
Gd2 0.000 0.500 0.000 1
Ga1 0.500 0.500 0.500 1
Zr1 0.500 0.000 0.000 1
# Formation energy from the elements   -0.1992 eV per atom
# Distance to the lowest polymorph of the same formula   12 meV per atom

4.
# CaTb4Sm5 | Alexandria via LeMat-Bulk | GGA-PBE | relaxed
data_CaTb4Sm5
_chemical_formula_sum 'Ca1 Tb4 Sm5'
_symmetry_space_group_name_H-M 'P 1'
_symmetry_Int_Tables_number 1
_cell_length_a 3.616
_cell_length_b 3.616
_cell_length_c 25.735
_cell_angle_alpha 90.00
_cell_angle_beta 90.00
_cell_angle_gamma 90.00
loop_
_symmetry_equiv_pos_as_xyz
'x,y,z'
loop_
_atom_site_label
_atom_site_fract_x
_atom_site_fract_y
_atom_site_fract_z
_atom_site_occupancy
Ca1 0.000 0.000 0.000 1
Sm1 0.500 0.500 0.891 1
Sm2 0.500 0.500 0.304 1
Sm3 0.500 0.500 0.696 1
Sm4 0.500 0.500 0.500 1
Sm5 0.500 0.500 0.109 1
Tb1 0.000 0.000 0.402 1
Tb2 0.000 0.000 0.598 1
Tb3 0.000 0.000 0.796 1
Tb4 0.000 0.000 0.204 1
# Formation energy from the elements   0.0287 eV per atom